w) Here is a relaxed BaErTl4 crystal from Alexandria via LeMat-Bulk. Energies are from PBE.

Cell: 6.4317 6.4317 6.4317 Å, 60.00 60.00 60.00°
Last column: nearest neighbours and their distance in Å.
Positions (direct):
Tl (0.6254, 0.6254, 0.1238)  6 Tl 3.21-3.23
Tl (0.6254, 0.1238, 0.6254)  6 Tl 3.21-3.23
Tl (0.6254, 0.6254, 0.6254)  6 Tl 3.21-3.23
Tl (0.1239, 0.6254, 0.6254)  6 Tl 3.21-3.23
Ba (0.2500, 0.2500, 0.2500)  12 Tl 3.77, 4 Er 3.94
Er (0.0000, 0.0000, 0.0000)  12 Tl 3.77, 4 Ba 3.94

## Properties
- SG = F-43m (216)
- Fermi-level density of states (states/eV/f.u.) = 5.76

x) Here is a relaxed BaErTl4 crystal from Alexandria via LeMat-Bulk. Energies are from PBE.

Cell: 5.1074 5.1074 8.5922 Å, 90.00 90.00 90.00°
Last column: nearest neighbours and their distance in Å.
Positions (direct):
Ba (0.0000, 0.0000, 0.0000)  8 Tl 3.61
Er (0.5000, 0.5000, 0.5000)  8 Tl 3.09
Tl (0.5000, 0.0000, 0.7030)  2 Er 3.09
Tl (0.0000, 0.5000, 0.7030)  2 Er 3.09
Tl (0.5000, 0.0000, 0.2970)  2 Er 3.09
Tl (0.0000, 0.5000, 0.2970)  2 Er 3.09

## Properties
- SG = P4/mmm (123)
- Fermi-level density of states (states/eV/f.u.) = 5.80

Order from most stable to least stable according to the calculation: w), x)

w) Here is a relaxed BaEr2Zn crystal from Alexandria via LeMat-Bulk. Energies are from PBE.

Cell: 3.6535 3.6535 9.5738 Å, 90.00 90.00 90.00°
Last column: nearest neighbours and their distance in Å.
Positions (direct):
Zn (0.5000, 0.5000, 0.0000)  8 Er 3.06
Ba (0.5000, 0.5000, 0.5000)  4 Ba 3.65, 8 Er 4.06
Er (0.0000, 0.0000, 0.8278)  4 Zn 3.06, 1 Er 3.30
Er (0.0000, 0.0000, 0.1722)  4 Zn 3.06, 1 Er 3.30

## Properties
- SG = P4/mmm (123)
- Fermi-level density of states (states/eV/f.u.) = 4.90

x) Here is a relaxed BaEr2Zn crystal from Alexandria via LeMat-Bulk. Energies are from PBE.

Cell: 3.6106 3.6106 11.7364 Å, 81.15 81.15 60.00°
Last column: nearest neighbours and their distance in Å.
Positions (direct):
Zn (0.5000, 0.5000, 0.5000)  6 Er 2.97
Ba (0.0000, 0.0000, 0.0000)  6 Ba 3.61, 2 Er 3.66
Er (0.1057, 0.1057, 0.6829)  3 Zn 2.97
Er (0.8943, 0.8943, 0.3171)  3 Zn 2.97

## Properties
- SG = R-3m (166)
- Fermi-level density of states (states/eV/f.u.) = 3.78

Order from most stable to least stable according to the calculation: w), x)

w) Here is a relaxed Ba3Eu crystal from Alexandria via LeMat-Bulk. Energies are from PBE.

Cell: 6.1790 6.1790 6.1790 Å, 90.00 90.00 90.00°
Last column: nearest neighbours and their distance in Å.
Positions (direct):
Eu (0.0000, 0.0000, 0.0000)  12 Ba 4.37
Ba (0.0000, 0.5000, 0.5000)  8 Ba 4.37, 4 Eu 4.37
Ba (0.5000, 0.0000, 0.5000)  8 Ba 4.37, 4 Eu 4.37
Ba (0.5000, 0.5000, 0.0000)  8 Ba 4.37, 4 Eu 4.37

## Properties
- SG = Pm-3m (221)
- Fermi-level density of states (states/eV/f.u.) = 6.16

x) Here is a relaxed Ba3Eu crystal from Alexandria via LeMat-Bulk. Energies are from PBE.

Cell: 4.3539 7.5195 8.3591 Å, 116.73 105.10 90.00°
Last column: nearest neighbours and their distance in Å.
Positions (direct):
Eu (0.0000, 0.9978, 0.0000)  10 Ba 4.31-4.42, 2 Eu 4.35
Ba (0.2537, 0.5888, 0.5073)  3 Eu 4.31-4.42, 9 Ba 4.33-4.40
Ba (0.5000, 0.4985, 0.0000)  8 Ba 4.33-4.40, 4 Eu 4.34-4.35
Ba (0.7463, 0.0815, 0.4927)  3 Eu 4.31-4.42, 9 Ba 4.33-4.40

## Properties
- SG = Imm2 (44)
- Fermi-level density of states (states/eV/f.u.) = 5.51

y) Here is a relaxed Ba3Eu crystal from Alexandria via LeMat-Bulk. Energies are from PBE.

Cell: 6.9071 6.9071 6.9071 Å, 60.00 60.00 60.00°
Last column: nearest neighbours and their distance in Å.
Positions (direct):
Ba (0.2500, 0.2500, 0.2500)  4 Ba 4.23, 4 Eu 4.23
Ba (0.7500, 0.7500, 0.7500)  4 Ba 4.23, 4 Eu 4.23
Ba (0.5000, 0.5000, 0.5000)  8 Ba 4.23
Eu (0.0000, 0.0000, 0.0000)  8 Ba 4.23

## Properties
- SG = Fm-3m (225)
- Fermi-level density of states (states/eV/f.u.) = 17.24

Order from most stable to least stable according to the calculation: y), x), w)

w) Here is a relaxed Ba3Eu crystal from Alexandria via LeMat-Bulk. Energies are from PBE.

Cell: 4.3317 7.1386 7.5478 Å, 90.00 90.00 90.00°
Last column: nearest neighbours and their distance in Å.
Positions (direct):
Eu (0.0000, 0.0000, 0.0026)  10 Ba 4.33-4.36, 2 Eu 4.33
Ba (0.0000, 0.5000, 0.3273)  10 Ba 4.30-4.40, 2 Eu 4.33
Ba (0.5000, 0.0000, 0.5018)  8 Ba 4.33-4.38, 4 Eu 4.35-4.36
Ba (0.5000, 0.5000, 0.8348)  8 Ba 4.30-4.40, 4 Eu 4.36

## Properties
- SG = Pmm2 (25)
- Fermi-level density of states (states/eV/f.u.) = 15.82

x) Here is a relaxed Ba3Eu crystal from Alexandria via LeMat-Bulk. Energies are from PBE.

Cell: 6.1605 6.1605 7.5851 Å, 113.96 113.96 90.00°
Last column: nearest neighbours and their distance in Å.
Positions (direct):
Eu (0.0000, 0.0000, 0.0000)  12 Ba 4.36-4.37
Ba (0.7500, 0.2500, 0.5000)  8 Ba 4.36-4.37, 4 Eu 4.37
Ba (0.2500, 0.7500, 0.5000)  8 Ba 4.36-4.37, 4 Eu 4.37
Ba (0.5000, 0.5000, 0.0000)  4 Eu 4.36, 8 Ba 4.37

## Properties
- SG = I4/mmm (139)
- Fermi-level density of states (states/eV/f.u.) = 5.93

Order from most stable to least stable according to the calculation: w), x)

w) Here is a relaxed BaEuGa2 crystal from Alexandria via LeMat-Bulk. Energies are from PBE.

Cell: 5.5846 5.5846 5.5846 Å, 60.00 60.00 60.00°
Last column: nearest neighbours and their distance in Å.
Positions (direct):
Eu (0.0000, 0.0000, 0.0000)  8 Ga 3.42
Ba (0.5000, 0.5000, 0.5000)  8 Ga 3.42
Ga (0.2500, 0.2500, 0.2500)  4 Ba 3.42, 4 Eu 3.42
Ga (0.7500, 0.7500, 0.7500)  4 Ba 3.42, 4 Eu 3.42

## Properties
- SG = Fm-3m (225)
- Fermi-level density of states (states/eV/f.u.) = 6.06

x) Here is a relaxed BaEuGa2 crystal from Alexandria via LeMat-Bulk. Energies are from PBE.

Cell: 3.9527 3.9527 7.7749 Å, 90.00 90.00 90.00°
Last column: nearest neighbours and their distance in Å.
Positions (direct):
Eu (0.5000, 0.5000, 0.0000)  8 Ga 3.22
Ba (0.5000, 0.5000, 0.5000)  8 Ga 3.61, 2 Eu 3.89, 4 Ba 3.95
Ga (0.0000, 0.0000, 0.7946)  1 Ga 3.19, 4 Eu 3.22
Ga (0.0000, 0.0000, 0.2054)  1 Ga 3.19, 4 Eu 3.22

## Properties
- SG = P4/mmm (123)
- Fermi-level density of states (states/eV/f.u.) = 7.42

Order from most stable to least stable according to the calculation: x), w)

w) Here is a relaxed Ba2EuGa crystal from Alexandria via LeMat-Bulk. Energies are from PBE.

Cell: 4.1295 4.1295 10.3651 Å, 90.00 90.00 90.00°
Last column: nearest neighbours and their distance in Å.
Positions (direct):
Eu (0.5000, 0.5000, 0.5000)  4 Eu 4.13, 8 Ba 4.37
Ba (0.0000, 0.0000, 0.8136)  4 Ga 3.50, 1 Ba 3.86
Ba (0.0000, 0.0000, 0.1864)  4 Ga 3.50, 1 Ba 3.86
Ga (0.5000, 0.5000, 0.0000)  8 Ba 3.50

## Properties
- SG = P4/mmm (123)
- Fermi-level density of states (states/eV/f.u.) = 4.20

x) Here is a relaxed Ba2EuGa crystal from Alexandria via LeMat-Bulk. Energies are from PBE.

Cell: 4.6297 5.9465 5.9465 Å, 90.00 90.00 90.00°
Last column: nearest neighbours and their distance in Å.
Positions (direct):
Eu (0.5000, 0.5000, 0.5000)  8 Ba 3.77, 4 Ga 4.20
Ba (0.0000, 0.0000, 0.5000)  4 Eu 3.77, 4 Ga 3.77, 4 Ba 4.20
Ba (0.0000, 0.5000, 0.0000)  4 Ga 3.77, 4 Eu 3.77, 4 Ba 4.20
Ga (0.5000, 0.0000, 0.0000)  8 Ba 3.77, 4 Eu 4.20

## Properties
- SG = P4/mmm (123)
- Fermi-level density of states (states/eV/f.u.) = 3.09

y) Here is a relaxed Ba2EuGa crystal from Alexandria via LeMat-Bulk. Energies are from PBE.

Cell: 4.1911 4.1911 12.9286 Å, 80.67 80.67 60.00°
Last column: nearest neighbours and their distance in Å.
Positions (direct):
Eu (0.0000, 0.0000, 0.0000)  2 Ba 4.00, 6 Eu 4.19
Ba (0.1050, 0.1050, 0.6851)  3 Ga 3.37
Ba (0.8950, 0.8950, 0.3149)  3 Ga 3.37
Ga (0.5000, 0.5000, 0.5000)  6 Ba 3.37

## Properties
- SG = R-3m (166)
- Fermi-level density of states (states/eV/f.u.) = 4.35

Order from most stable to least stable according to the calculation: w), x), y)

w) Here is a relaxed BaEu2Ga crystal from Alexandria via LeMat-Bulk. Energies are from PBE.

Cell: 5.3177 5.3177 7.2112 Å, 68.36 68.36 60.00°
Last column: nearest neighbours and their distance in Å.
Positions (direct):
Eu (0.2862, 0.2862, 0.1413)  3 Ga 3.21, 3 Eu 3.58
Eu (0.7138, 0.7138, 0.8587)  3 Ga 3.21, 3 Eu 3.58
Ba (0.5000, 0.5000, 0.5000)  8 Eu 3.86-4.18
Ga (0.0000, 0.0000, 0.0000)  6 Eu 3.21

## Properties
- SG = R-3m (166)
- Fermi-level density of states (states/eV/f.u.) = 8.69

x) Here is a relaxed BaEu2Ga crystal from Alexandria via LeMat-Bulk. Energies are from PBE.

Cell: 3.9252 3.9252 9.9703 Å, 90.00 90.00 90.00°
Last column: nearest neighbours and their distance in Å.
Positions (direct):
Eu (0.0000, 0.0000, 0.8288)  4 Ga 3.26, 1 Eu 3.41
Eu (0.0000, 0.0000, 0.1712)  4 Ga 3.26, 1 Eu 3.41
Ba (0.5000, 0.5000, 0.5000)  4 Ba 3.93, 8 Eu 4.30
Ga (0.5000, 0.5000, 0.0000)  8 Eu 3.26

## Properties
- SG = P4/mmm (123)
- Fermi-level density of states (states/eV/f.u.) = 10.06

Order from most stable to least stable according to the calculation: x), w)

w) Here is a relaxed BaEu2Hg crystal from Alexandria via LeMat-Bulk. Energies are from PBE.

Cell: 5.8363 5.8363 5.8363 Å, 60.00 60.00 60.00°
Last column: nearest neighbours and their distance in Å.
Positions (direct):
Eu (0.2500, 0.2500, 0.2500)  4 Ba 3.57, 4 Hg 3.57
Eu (0.7500, 0.7500, 0.7500)  4 Ba 3.57, 4 Hg 3.57
Hg (0.0000, 0.0000, 0.0000)  8 Eu 3.57
Ba (0.5000, 0.5000, 0.5000)  8 Eu 3.57

## Properties
- SG = Fm-3m (225)
- Fermi-level density of states (states/eV/f.u.) = 3.81

x) Here is a relaxed BaEu2Hg crystal from Alexandria via LeMat-Bulk. Energies are from PBE.

Cell: 4.0176 4.0176 10.0547 Å, 90.00 90.00 90.00°
Last column: nearest neighbours and their distance in Å.
Positions (direct):
Eu (0.0000, 0.0000, 0.8199)  4 Hg 3.37, 1 Eu 3.62
Eu (0.0000, 0.0000, 0.1801)  4 Hg 3.37, 1 Eu 3.62
Hg (0.5000, 0.5000, 0.0000)  8 Eu 3.37
Ba (0.5000, 0.5000, 0.5000)  4 Ba 4.02, 8 Eu 4.29

## Properties
- SG = P4/mmm (123)
- Fermi-level density of states (states/eV/f.u.) = 14.47

Order from most stable to least stable according to the calculation: x), w)

w) Here is a relaxed Ba2EuHg crystal from Alexandria via LeMat-Bulk. Energies are from PBE.

Cell: 4.1957 4.1957 13.9695 Å, 81.36 81.36 60.00°
Last column: nearest neighbours and their distance in Å.
Positions (direct):
Eu (0.5000, 0.5000, 0.5000)  6 Ba 4.19, 6 Eu 4.20
Hg (0.0000, 0.0000, 0.0000)  2 Ba 3.46
Ba (0.0837, 0.0837, 0.7488)  1 Hg 3.46
Ba (0.9163, 0.9163, 0.2512)  1 Hg 3.46

## Properties
- SG = R-3m (166)
- Fermi-level density of states (states/eV/f.u.) = 5.25

x) Here is a relaxed Ba2EuHg crystal from Alexandria via LeMat-Bulk. Energies are from PBE.

Cell: 4.4694 6.1980 6.1980 Å, 90.00 90.00 90.00°
Last column: nearest neighbours and their distance in Å.
Positions (direct):
Eu (0.5000, 0.5000, 0.5000)  8 Ba 3.82
Hg (0.5000, 0.0000, 0.0000)  8 Ba 3.82
Ba (0.0000, 0.0000, 0.5000)  4 Hg 3.82, 4 Eu 3.82
Ba (0.0000, 0.5000, 0.0000)  4 Hg 3.82, 4 Eu 3.82

## Properties
- SG = P4/mmm (123)
- Fermi-level density of states (states/eV/f.u.) = 4.62

y) Here is a relaxed Ba2EuHg crystal from Alexandria via LeMat-Bulk. Energies are from PBE.

Cell: 4.1998 4.1998 10.3579 Å, 90.00 90.00 90.00°
Last column: nearest neighbours and their distance in Å.
Positions (direct):
Eu (0.5000, 0.5000, 0.5000)  4 Eu 4.20, 8 Ba 4.33
Hg (0.5000, 0.5000, 0.0000)  8 Ba 3.60
Ba (0.0000, 0.0000, 0.8040)  4 Hg 3.60
Ba (0.0000, 0.0000, 0.1960)  4 Hg 3.60

## Properties
- SG = P4/mmm (123)
- Fermi-level density of states (states/eV/f.u.) = 4.67

Order from most stable to least stable according to the calculation: y), x), w)

w) Here is a relaxed BaEuIr crystal from Alexandria via LeMat-Bulk. Energies are from PBE.

Cell: 3.7003 3.7003 7.7764 Å, 103.76 103.76 90.00°
Last column: nearest neighbours and their distance in Å.
Positions (direct):
Eu (0.2797, 0.2797, 0.5593)  4 Ir 3.02
Ir (0.6767, 0.6767, 0.3534)  4 Eu 3.02, 4 Ba 3.26
Ba (0.0436, 0.0436, 0.0873)  4 Ir 3.26, 1 Eu 3.46

## Properties
- SG = I4mm (107)
- Fermi-level density of states (states/eV/f.u.) = 11.13

x) Here is a relaxed BaEuIr crystal from Alexandria via LeMat-Bulk. Energies are from PBE.

Cell: 6.8583 4.3900 4.3900 Å, 120.00 90.00 90.00°
Last column: nearest neighbours and their distance in Å.
Positions (direct):
Eu (0.2163, 0.3333, 0.6667)  3 Ir 2.87
Ir (0.0214, 0.0000, 0.0000)  3 Eu 2.87, 3 Ba 3.10
Ba (0.7623, 0.6667, 0.3333)  3 Ir 3.10

## Properties
- SG = P3m1 (156)
- Fermi-level density of states (states/eV/f.u.) = 12.02

Order from most stable to least stable according to the calculation: x), w)

w) Here is a relaxed BaEuMg crystal from Alexandria via LeMat-Bulk. Energies are from PBE.

Cell: 4.1712 4.1712 7.8595 Å, 105.39 105.39 90.00°
Last column: nearest neighbours and their distance in Å.
Positions (direct):
Eu (0.3045, 0.3045, 0.6090)  4 Mg 3.49
Mg (0.6760, 0.6760, 0.3520)  4 Eu 3.49, 4 Ba 3.73
Ba (0.0195, 0.0195, 0.0390)  4 Mg 3.73, 1 Eu 4.15, 4 Ba 4.17

## Properties
- SG = I4mm (107)
- Fermi-level density of states (states/eV/f.u.) = 12.28

x) Here is a relaxed BaEuMg crystal from Alexandria via LeMat-Bulk. Energies are from PBE.

Cell: 3.9090 6.0314 6.0314 Å, 120.00 90.00 90.00°
Last column: nearest neighbours and their distance in Å.
Positions (direct):
Eu (0.0553, 0.0000, 0.0000)  3 Mg 3.60, 3 Ba 3.81, 2 Eu 3.91
Mg (0.2862, 0.3333, 0.6667)  3 Eu 3.60, 3 Ba 3.77, 2 Mg 3.91
Ba (0.6584, 0.6667, 0.3333)  3 Mg 3.77, 6 Eu 3.81-4.21, 2 Ba 3.91

## Properties
- SG = P3m1 (156)
- Fermi-level density of states (states/eV/f.u.) = 7.37

Order from most stable to least stable according to the calculation: w), x)

w) Here is a relaxed BaEu2N crystal from Alexandria via LeMat-Bulk. Energies are from PBE.

Cell: 3.7971 3.7971 10.4816 Å, 79.56 79.56 60.00°
Last column: nearest neighbours and their distance in Å.
Positions (direct):
Eu (0.7103, 0.7103, 0.8691)  3 N 2.57
Eu (0.2897, 0.2897, 0.1309)  3 N 2.57
Ba (0.5000, 0.5000, 0.5000)  6 Ba 3.80
N (0.0000, 0.0000, 0.0000)  6 Eu 2.57

## Properties
- SG = R-3m (166)
- Fermi-level density of states (states/eV/f.u.) = 10.14

x) Here is a relaxed BaEu2N crystal from Alexandria via LeMat-Bulk. Energies are from PBE.

Cell: 3.3651 3.3651 10.2041 Å, 90.00 90.00 90.00°
Last column: nearest neighbours and their distance in Å.
Positions (direct):
Eu (0.0000, 0.0000, 0.8638)  4 N 2.76, 1 Eu 2.78
Eu (0.0000, 0.0000, 0.1362)  4 N 2.76, 1 Eu 2.78
Ba (0.5000, 0.5000, 0.5000)  4 Ba 3.37
N (0.5000, 0.5000, 0.0000)  8 Eu 2.76

## Properties
- SG = P4/mmm (123)
- Fermi-level density of states (states/eV/f.u.) = 4.89

Order from most stable to least stable according to the calculation: w), x)